Below is crystalline HgMoSe4 at its relaxed geometry, with properties calculated at the GGA-PBE level.

Raw total energy in eV/f.u.: -19.90
Total magnetization in μB per atom: 0.6843

Unit cell a=8.1508 b=8.1508 c=8.1508 alpha=90.00 beta=90.00 gamma=90.00
Closest atoms and distances in Å follow each position.
Space group F-43m (No. 216)
Unique sites:
Hg1 0.0000 0.0000 0.0000 x4  12 Se 3.38, 4 Mo 3.53
Mo1 0.2500 0.2500 0.7500 x4  12 Se 3.38, 4 Hg 3.53
Se1 0.1245 0.1245 0.3755 x16  6 Se 2.87-2.89